1.
# PBE Li2AgP2, optimized geometry
data_Li2AgP2
_cell_length_a 7.553
_cell_length_b 7.553
_cell_length_c 2.630
_cell_angle_alpha 90.00
_cell_angle_beta 90.00
_cell_angle_gamma 90.00
_symmetry_space_group_name_H-M 'P 4/m b m'
_symmetry_Int_Tables_number 127
_symmetry_space_group_name_Hall '-P 4 2ab'
loop_
_atom_site_label
_atom_site_fract_x
_atom_site_fract_y
_atom_site_fract_z
Li1 0.118 0.382 0.000
Ag1 0.000 0.000 0.000
P1 0.181 0.681 0.500
# **Relative energy among the computed polymorphs**: 1.20 eV per formula unit
# **DFT formation energy**: -0.79 eV/f.u.
# **Spin magnetization**: 0.0 μB per cell

=====

2.
# PBE Pa2TaIn, optimized geometry
data_Pa2TaIn
_cell_length_a 7.286
_cell_length_b 7.286
_cell_length_c 7.286
_cell_angle_alpha 90.00
_cell_angle_beta 90.00
_cell_angle_gamma 90.00
_symmetry_space_group_name_H-M 'F m -3 m'
_symmetry_Int_Tables_number 225
_symmetry_space_group_name_Hall '-F 4 2 3'
loop_
_atom_site_label
_atom_site_fract_x
_atom_site_fract_y
_atom_site_fract_z
Pa1 0.250 0.250 0.250
Ta1 0.000 0.000 0.000
In1 0.000 0.000 0.500
# **Relative energy among the computed polymorphs**: 1.01 eV per formula unit
# **DFT formation energy**: 1.31 eV/f.u.
# **Spin magnetization**: 0.0 μB per cell

=====

3.
# PBE PrY6Mg2, optimized geometry
data_PrY6Mg2
_cell_length_a 4.940
_cell_length_b 4.940
_cell_length_c 12.005
_cell_angle_alpha 90.00
_cell_angle_beta 90.00
_cell_angle_gamma 90.00
_symmetry_space_group_name_H-M 'P 4/m m m'
_symmetry_Int_Tables_number 123
_symmetry_space_group_name_Hall '-P 4 2'
loop_
_atom_site_label
_atom_site_fract_x
_atom_site_fract_y
_atom_site_fract_z
Pr1 0.000 0.000 0.000
Y1 0.000 0.000 0.500
Y2 0.000 0.500 0.285
Y3 0.500 0.500 0.500
Mg1 0.500 0.500 0.114
# **DFT formation energy**: 1.17 eV/f.u.
# **Spin magnetization**: 2.1 μB per cell

=====

4.
# PBE K2Ho2USe6, optimized geometry
data_K2Ho2USe6
_cell_length_a 7.205
_cell_length_b 12.458
_cell_length_c 8.215
_cell_angle_alpha 90.00
_cell_angle_beta 107.17
_cell_angle_gamma 90.00
_symmetry_space_group_name_H-M 'C 1 2/m 1'
_symmetry_Int_Tables_number 12
_symmetry_space_group_name_Hall '-C 2y'
loop_
_atom_site_label
_atom_site_fract_x
_atom_site_fract_y
_atom_site_fract_z
K1 0.000 0.168 0.000
Ho1 0.000 0.333 0.500
U1 0.000 0.000 0.500
Se1 0.233 0.166 0.700
Se2 0.237 0.500 0.699
# **Uncorrected formation energy**: -1.594 eV/atom
# **Spin magnetization**: 4.0 μB per cell

=====

5.
# PBE Th2ZnNi3, optimized geometry
data_Th2ZnNi3
_cell_length_a 7.414
_cell_length_b 8.289
_cell_length_c 14.915
_cell_angle_alpha 90.00
_cell_angle_beta 90.00
_cell_angle_gamma 90.00
_symmetry_space_group_name_H-M 'F m m m'
_symmetry_Int_Tables_number 69
_symmetry_space_group_name_Hall '-F 2 2'
loop_
_atom_site_label
_atom_site_fract_x
_atom_site_fract_y
_atom_site_fract_z
Th1 0.243 0.000 0.000
Th2 0.250 0.250 0.250
Zn1 0.000 0.000 0.336
Ni1 0.000 0.000 0.172
Ni2 0.000 0.247 0.082
# **Relative energy among the computed polymorphs**: 0.11 eV per formula unit
# **DFT formation energy**: -2.38 eV/f.u.
# **Spin magnetization**: 0.0 μB per cell

=====

6.
# PBE NpFeBC, optimized geometry
data_NpFeBC
_cell_length_a 3.462
_cell_length_b 3.462
_cell_length_c 7.765
_cell_angle_alpha 90.00
_cell_angle_beta 90.00
_cell_angle_gamma 90.00
_symmetry_space_group_name_H-M 'P 4/n m m'
_symmetry_Int_Tables_number 129
loop_
_symmetry_equiv_pos_as_xyz
'x,y,z'
'-x,-y,-z'
'-y+1/2,x,z'
'y+1/2,-x,-z'
'-x+1/2,-y+1/2,z'
'x+1/2,y+1/2,-z'
'y,-x+1/2,z'
'-y,x+1/2,-z'
'x+1/2,-y,-z'
'-x+1/2,y,z'
'-y,-x,-z'
'y,x,z'
'-x,y+1/2,-z'
'x,-y+1/2,z'
'y+1/2,x+1/2,-z'
'-y+1/2,-x+1/2,z'
loop_
_atom_site_label
_atom_site_fract_x
_atom_site_fract_y
_atom_site_fract_z
Np1 0.250 0.250 0.170
Fe1 0.250 0.750 0.500
B1 0.250 0.250 0.667
C1 0.250 0.250 0.869
# **DFT formation energy**: -0.86 eV/f.u.
# **Spin magnetization**: 8.1 μB per cell

=====

7.
# PBE RhCNO2, optimized geometry
data_RhCNO2
_cell_length_a 4.198
_cell_length_b 4.198
_cell_length_c 2.512
_cell_angle_alpha 90.00
_cell_angle_beta 90.00
_cell_angle_gamma 90.00
_symmetry_space_group_name_H-M 'P 4/m m m'
_symmetry_Int_Tables_number 123
_symmetry_space_group_name_Hall '-P 4 2'
loop_
_atom_site_label
_atom_site_fract_x
_atom_site_fract_y
_atom_site_fract_z
Rh1 0.000 0.000 0.000
C1 0.500 0.500 0.500
N1 0.500 0.500 0.000
O1 0.000 0.500 0.500
# **Uncorrected formation energy**: 1.086 eV/atom
# **Spin magnetization**: 0.0 μB per cell